Arrangement a

Computed, not measured: a geometry-optimized PmMg4In structure at the GGA-PBE level of DFT.

Summary:
Symmetry: F-43m
Calculated density: 3.85 Mg/m³

a = 6.015 Å, b = 6.015 Å, c = 6.015 Å
α = 60.00°, β = 60.00°, γ = 60.00°
Atoms (fractional coordinates):
Pm 0.000 0.000 0.000
Mg 0.125 0.625 0.625
Mg 0.625 0.125 0.625
Mg 0.625 0.625 0.125
Mg 0.625 0.625 0.625
In 0.250 0.250 0.250


Arrangement b

Computed, not measured: a geometry-optimized PmMg4In structure at the GGA-PBE level of DFT.

Summary:
Symmetry: Pmma
Calculated density: 3.88 Mg/m³

a = 8.207 Å, b = 4.690 Å, c = 7.944 Å
α = 90.00°, β = 90.00°, γ = 90.00°
Atoms (fractional coordinates):
Pm 0.250 0.000 0.139
Pm 0.750 0.000 0.861
Mg 0.000 0.000 0.500
Mg 0.048 0.500 0.815
Mg 0.250 0.500 0.451
Mg 0.452 0.500 0.815
Mg 0.500 0.000 0.500
Mg 0.548 0.500 0.185
Mg 0.750 0.500 0.549
Mg 0.952 0.500 0.185
In 0.250 0.000 0.744
In 0.750 0.000 0.256


It turns out arrangement b is the most stable, with the second structure 0.080 eV/atom higher.


Arrangement a

Computed, not measured: a geometry-optimized Pm4MgIn2 structure at the GGA-PBE level of DFT.

Summary:
Symmetry: R-3m
Calculated density: 6.42 Mg/m³

a = 9.140 Å, b = 9.140 Å, c = 9.140 Å
α = 34.25°, β = 34.25°, γ = 34.25°
Atoms (fractional coordinates):
Pm 0.115 0.115 0.115
Pm 0.368 0.368 0.368
Pm 0.632 0.632 0.632
Pm 0.885 0.885 0.885
Mg 0.500 0.500 0.500
In 0.243 0.243 0.243
In 0.757 0.757 0.757


Arrangement b

Computed, not measured: a geometry-optimized Pm4MgIn2 structure at the GGA-PBE level of DFT.

Summary:
Symmetry: P2_1/m
Calculated density: 6.49 Mg/m³

a = 7.806 Å, b = 6.447 Å, c = 9.217 Å
α = 90.00°, β = 113.10°, γ = 90.00°
Atoms (fractional coordinates):
Pm 0.122 0.250 0.064
Pm 0.138 0.004 0.722
Pm 0.138 0.496 0.722
Pm 0.311 0.750 0.285
Pm 0.689 0.250 0.715
Pm 0.862 0.504 0.278
Pm 0.862 0.996 0.278
Pm 0.878 0.750 0.936
Mg 0.451 0.750 0.660
Mg 0.549 0.250 0.340
In 0.257 0.250 0.459
In 0.477 0.750 0.010
In 0.523 0.250 0.990
In 0.743 0.750 0.541


It turns out arrangement a is the most stable, with the second structure 0.113 eV/atom higher.


Arrangement a

Computed, not measured: a geometry-optimized Pm2Mg3In structure at the GGA-PBE level of DFT.

Summary:
Symmetry: Pmm2
Calculated density: 4.90 Mg/m³

a = 3.483 Å, b = 5.182 Å, c = 8.967 Å
α = 90.00°, β = 90.00°, γ = 90.00°
Atoms (fractional coordinates):
Pm 0.000 0.000 0.000
Pm 0.000 0.500 0.488
Mg 0.500 0.000 0.664
Mg 0.500 0.500 0.157
Mg 0.500 0.500 0.825
In 0.500 0.000 0.330


Arrangement b

Computed, not measured: a geometry-optimized Pm2Mg3In structure at the GGA-PBE level of DFT.

Summary:
Symmetry: Fmmm
Calculated density: 4.93 Mg/m³

a = 10.331 Å, b = 9.594 Å, c = 6.237 Å
α = 78.33°, β = 65.43°, γ = 36.24°
Atoms (fractional coordinates):
Pm 0.249 0.751 0.751
Pm 0.250 0.250 0.250
Pm 0.750 0.750 0.750
Pm 0.751 0.249 0.249
Mg 0.167 0.167 0.833
Mg 0.169 0.664 0.336
Mg 0.336 0.831 0.169
Mg 0.664 0.169 0.831
Mg 0.831 0.336 0.664
Mg 0.833 0.833 0.167
In 0.334 0.334 0.666
In 0.666 0.666 0.334


It turns out arrangement b is the most stable, with the second structure 0.010 eV/atom higher.


Arrangement a

Computed, not measured: a geometry-optimized SrPmMgIn structure at the GGA-PBE level of DFT.

Summary:
Symmetry: F-43m
Calculated density: 4.95 Mg/m³

a = 5.607 Å, b = 5.607 Å, c = 5.607 Å
α = 60.00°, β = 60.00°, γ = 60.00°
Atoms (fractional coordinates):
Sr 0.000 0.000 0.000
Pm 0.500 0.500 0.500
Mg 0.250 0.250 0.250
In 0.750 0.750 0.750


Arrangement b

Computed, not measured: a geometry-optimized SrPmMgIn structure at the GGA-PBE level of DFT.

Summary:
Symmetry: P4mm
Calculated density: 4.86 Mg/m³

a = 3.965 Å, b = 3.965 Å, c = 8.076 Å
α = 90.00°, β = 90.00°, γ = 90.00°
Atoms (fractional coordinates):
Sr 0.000 0.000 0.000
Pm 0.000 0.000 0.491
Mg 0.500 0.500 0.721
In 0.500 0.500 0.270


It turns out arrangement b is the most stable, with the second structure 0.007 eV/atom higher.